First-principles (PBE) data for a relaxed structure of Sm7ErIn4, as listed in Alexandria.

a b c (Å): 5.7698 9.3950 7.8859
angles (deg): 74.86 68.54 72.12
Atoms (fractional coordinates):
In  0.3190  0.3341  0.0280
In  0.6810  0.6659  0.9720
Sm  0.2767  0.6645  0.7820
Sm  0.7233  0.3355  0.2180
Sm  0.0634  0.6062  0.2670
Er  0.0000  0.0000  0.0000
Sm  0.5000  0.0000  0.0000
Sm  0.2065  0.1194  0.4675
Sm  0.7935  0.8806  0.5325
Sm  0.9366  0.3938  0.7330
In  0.5573  0.2489  0.6366
In  0.4427  0.7511  0.3634

## Properties
Formation energy from the elements, eV per atom: -0.1219

First-principles (PBE) data for a relaxed structure of NpH4Ru, as listed in Alexandria.

a b c (Å): 4.6554 5.0977 5.5128
angles (deg): 117.54 114.98 90.00
Last column: magnetic moment on the atom in μB.
Atoms (fractional coordinates):
Np  0.6486  0.3986  0.7973  3.93
Ru  0.1106  0.8606  0.7211  0.07
H  0.7910  0.0000  0.5000  0.00
H  0.7911  0.5000  0.5000  0.00
H  0.5000  0.1674  0.0000  -0.01
H  0.2089  0.5000  0.5000  0.00
Np  0.3514  0.6014  0.2027  3.93
Ru  0.8894  0.1394  0.2789  0.07
H  0.0000  0.1674  0.0000  -0.01
H  0.2090  0.0000  0.5000  0.00
H  0.5000  0.8326  0.0000  -0.01
H  0.0000  0.8326  0.0000  -0.01

## Properties
E above lowest polymorph, meV per atom: 140.8

First-principles (PBE) data for a relaxed structure of InTcSn2B, as listed in Alexandria.

a b c (Å): 4.8408 4.5312 4.8408
angles (deg): 90.00 90.00 90.00
Last column: magnetic moment on the atom in μB.
Atoms (fractional coordinates):
Sn  0.0000  0.0000  0.5000  -0.04
Sn  0.5000  0.0000  0.0000  -0.04
Tc  0.5000  0.5000  0.5000  2.42
B  0.0000  0.0000  0.0000  0.01
In  0.0000  0.5000  0.0000  -0.02

## Properties
E above lowest polymorph, meV per atom: 0.0
Formation energy from the elements, eV per atom: 1.0884

First-principles (PBE) data for a relaxed structure of HoGa3Au3, as listed in Alexandria.

a b c (Å): 8.0664 8.0664 7.2087
angles (deg): 55.98 55.98 60.00
Atoms (fractional coordinates):
Ga  0.3969  0.7804  0.7337
Ga  0.0890  0.3969  0.7337
Au  0.4319  0.0869  0.7386
Ho  0.6656  0.6656  0.0032
Au  0.5681  0.9131  0.2614
Au  0.0869  0.7426  0.7386
Ga  0.9110  0.6031  0.2663
Au  0.2574  0.5681  0.2614
Au  0.7426  0.4319  0.7386
Ga  0.2196  0.9110  0.2663
Ho  0.3344  0.3344  0.9968
Ga  0.6031  0.2196  0.2663
Ga  0.7804  0.0890  0.7337
Au  0.9131  0.2574  0.2614

## Properties
E above lowest polymorph, meV per atom: 0.0
Formation energy from the elements, eV per atom: -0.3915

First-principles (PBE) data for a relaxed structure of InMoPt2, as listed in Alexandria.

a b c (Å): 5.6869 5.6869 5.6869
angles (deg): 151.10 129.17 59.53
Atoms (fractional coordinates):
Pt  0.0051  0.0051  0.0000
In  0.5025  0.5025  0.0000
Mo  0.2379  0.7379  0.5000
Pt  0.7545  0.2545  0.5000

## Properties
Formation energy from the elements, eV per atom: -0.0683

First-principles (PBE) data for a relaxed structure of MnSi2Cl, as listed in Alexandria.

a b c (Å): 4.5335 4.5354 4.5342
angles (deg): 70.56 70.48 109.44
Last column: magnetic moment on the atom in μB.
Atoms (fractional coordinates):
Si  0.0000  0.0000  0.0000  -0.06
Si  0.5000  0.0000  0.5000  -0.06
Mn  0.5000  0.5000  0.0000  3.79
Cl  0.0000  0.5000  0.5000  0.04

## Properties
E above lowest polymorph, meV per atom: 365.3
Raw formation energy, eV per formula unit: 1.37

First-principles (PBE) data for a relaxed structure of V3Ir2Ru3, as listed in Alexandria.

a b c (Å): 3.6917 3.8384 7.8707
angles (deg): 90.00 90.00 90.00
Atoms (fractional coordinates):
Ru  0.0000  0.5000  0.0000
Ru  0.5000  0.0000  0.5000
Ru  0.0000  0.5000  0.5000
Ir  0.0000  0.0000  0.7504
V  0.5000  0.5000  0.7345
Ir  0.0000  0.0000  0.2496
V  0.5000  0.0000  0.0000
V  0.5000  0.5000  0.2655

## Properties
Formation energy from the elements, eV per atom: -0.2940

First-principles (PBE) data for a relaxed structure of TbEr2Lu, as listed in Alexandria.

a b c (Å): 4.9583 4.9460 4.9460
angles (deg): 90.00 90.00 90.00
Atoms (fractional coordinates):
Tb  0.5000  0.5000  0.5000
Er  0.0000  0.0000  0.5000
Er  0.0000  0.5000  0.0000
Lu  0.5000  0.0000  0.0000

## Properties
E above lowest polymorph, meV per atom: 0.0
Formation energy from the elements, eV per atom: 0.0261

First-principles (PBE) data for a relaxed structure of NaPt3Cl, as listed in Alexandria.

a b c (Å): 4.6258 4.6258 4.6258
angles (deg): 90.00 90.00 90.00
Atoms (fractional coordinates):
Pt  0.0000  0.5000  0.0000
Na  0.5000  0.5000  0.5000
Cl  0.0000  0.0000  0.0000
Pt  0.0000  0.0000  0.5000
Pt  0.5000  0.0000  0.0000

## Properties
E above lowest polymorph, meV per atom: 0.0
Raw formation energy, eV per formula unit: 3.28

First-principles (PBE) data for a relaxed structure of HIrPt, as listed in Alexandria.

a b c (Å): 4.2629 3.0563 3.0563
angles (deg): 120.00 90.00 90.00
Atoms (fractional coordinates):
H  0.1667  0.6667  0.3333
Pt  0.6667  0.3333  0.6667
Ir  0.1666  0.0000  0.0000

## Properties
E above lowest polymorph, meV per atom: 97.7

First-principles (PBE) data for a relaxed structure of Zn2PSe, as listed in Alexandria.

a b c (Å): 4.1179 4.1179 6.5702
angles (deg): 89.83 89.83 44.68
Atoms (fractional coordinates):
Zn  0.0167  0.0167  0.0138
Se  0.7419  0.7419  0.2167
P  0.5093  0.5093  0.7132
Zn  0.2321  0.2321  0.5563

## Properties
Raw formation energy, eV per formula unit: -0.61

First-principles (PBE) data for a relaxed structure of Ac4Tb3TmSe8, as listed in Alexandria.

a b c (Å): 8.3168 8.7880 8.3158
angles (deg): 118.24 120.00 90.00
Atoms (fractional coordinates):
Se  0.2375  0.7180  0.9805
Se  0.2569  0.2820  0.0195
Tb  0.5000  0.5000  0.0000
Ac  0.5000  0.0000  0.0000
Se  0.2370  0.7176  0.4741
Se  0.7625  0.2820  0.0195
Se  0.2599  0.2795  0.5197
Se  0.7401  0.7205  0.4803
Se  0.7630  0.2824  0.5259
Tb  0.5000  0.5000  0.5000
Ac  0.0000  0.0000  0.0000
Se  0.7431  0.7180  0.9805
Tb  0.0000  0.5000  0.5000
Tm  0.0000  0.5000  0.0000
Ac  0.0000  0.0000  0.5000
Ac  0.5000  0.0000  0.5000

## Properties
Raw formation energy, eV per formula unit: -28.76

Copy entry 10 word for word.
First-principles (PBE) data for a relaxed structure of HIrPt, as listed in Alexandria.

a b c (Å): 4.2629 3.0563 3.0563
angles (deg): 120.00 90.00 90.00
Atoms (fractional coordinates):
H  0.1667  0.6667  0.3333
Pt  0.6667  0.3333  0.6667
Ir  0.1666  0.0000  0.0000

## Properties
E above lowest polymorph, meV per atom: 97.7